GGA-PBE MgRh3C, optimized geometry; symmetry = P6_3/mmc (194); final energy = -54.158 eV per cell; E_form = 5.8 eV/f.u.
1.0
3.397 -1.962 0.000
0.000 3.923 0.000
0.000 0.000 11.854
Mg Rh C
2 6 2
Cartesian
2.265 0.000 2.963
1.132 1.962 8.890
2.265 0.000 5.346
1.132 1.962 11.273
0.000 0.000 8.890
1.132 1.962 6.508
0.000 0.000 2.963
2.265 0.000 0.581
0.000 0.000 0.000
0.000 0.000 5.927